VASP calculation (GGA-PBE) on TbMg5Tl8 after structural relaxation.

Summary:
ΔH_f (0 K) = -0.2 eV/f.u.
Uncorrected energy = -2.27 eV per atom
SG = I-4 (82)
D(E_F) = 3.99 states/eV/cell
Magnetic moment = 0.00 μB per formula unit

Lattice parameters (Å, degrees): 7.8655 7.8655 7.8655 109.33 109.74 109.33
Element x y z (fractional)
Mg: 0.8837 0.9123 0.2252
Mg: 0.7748 0.6585 0.6871
Mg: 0.3129 0.0877 0.9714
Mg: 0.5000 0.0000 0.5000
Mg: 0.0286 0.3415 0.1163
Tl: 0.0907 0.7357 0.4908
Tl: 0.6450 0.4001 0.9093
Tl: 0.9378 0.0716 0.6749
Tl: 0.3251 0.2629 0.3967
Tl: 0.1338 0.7371 0.0622
Tl: 0.5092 0.5999 0.2448
Tl: 0.7552 0.2643 0.3550
Tl: 0.6033 0.9284 0.8662
Tb: 0.2500 0.5000 0.7500